No. 1
Below is a geometry-optimized PmZrSi structure, with properties calculated at the PBE level.

ΔE to the lowest computed polymorph (kJ/mol of formula units): 0.0
Space group: F-43m, No. 216
DFT total energy (eV per cell): -19.64

Unit cell a=4.736 b=4.736 c=4.736 alpha=60.00 beta=60.00 gamma=60.00
Sites, in units of the cell vectors:
1 Zr 0.750 0.750 0.750
2 Si 0.000 0.000 0.000
3 Pm 0.250 0.250 0.250


No. 2
Below is a geometry-optimized Pm2Sm structure, with properties calculated at the PBE level.

Formation energy from the elements (eV/atom): 0.25
Space group: Fd-3m, No. 227
DFT total energy (eV per cell): -26.88

Unit cell a=6.677 b=6.677 c=6.677 alpha=60.00 beta=60.00 gamma=60.00
Sites, in units of the cell vectors:
1 Pm 0.625 0.625 0.125
2 Sm 0.250 0.250 0.250
3 Sm 0.000 0.000 0.000
4 Pm 0.625 0.625 0.625
5 Pm 0.125 0.625 0.625
6 Pm 0.625 0.125 0.625


No. 3
Below is a geometry-optimized PmSmTa structure, with properties calculated at the PBE level.

Formation energy from the elements (eV/atom): 1.31
Space group: F-43m, No. 216
DFT total energy (eV per cell): -17.38

Unit cell a=5.059 b=5.059 c=5.059 alpha=60.00 beta=60.00 gamma=60.00
Sites, in units of the cell vectors:
1 Pm 0.250 0.250 0.250
2 Sm 0.000 0.000 0.000
3 Ta 0.750 0.750 0.750


No. 4
Below is a geometry-optimized TbPmSm structure, with properties calculated at the PBE level.

Formation energy from the elements (eV/atom): 0.73
ΔE to the lowest computed polymorph (kJ/mol of formula units): 0.0
Space group: F-43m, No. 216
DFT total energy (eV per cell): -11.91

Unit cell a=5.488 b=5.488 c=5.488 alpha=60.00 beta=60.00 gamma=60.00
Sites, in units of the cell vectors:
1 Pm 0.250 0.250 0.250
2 Sm 0.000 0.000 0.000
3 Tb 0.750 0.750 0.750


- Which of these has the highest DFT total energy?
  TbPmSm


- The highest DFT total energy belongs to which entry?
  TbPmSm


- Which of these has the lowest DFT total energy?
  Pm2Sm


- Which value of DFT total energy does entry 1 give?
  -19.64 eV per cell